The following is a GGA-PBE calculation of a relaxed structure of K3Ho3CrS8, from Alexandria.

Calculated values
SG	R-3m, No. 166
density of states at the Fermi level	7.8	states/eV/f.u.
formation energy from raw total energies	-1548	meV per atom
energy	-5.53	eV per atom

abc: 8.770 8.770 8.770
angles: 52.56 52.56 52.56
Fractional positions:
K: 0.000 0.500 0.500
K: 0.500 0.000 0.500
K: 0.500 0.500 0.000
Ho: 0.000 0.000 0.500
Ho: 0.000 0.500 0.000
Ho: 0.500 0.000 0.000
Cr: 0.500 0.500 0.500
S: 0.234 0.234 0.234
S: 0.259 0.713 0.713
S: 0.287 0.287 0.741
S: 0.287 0.741 0.287
S: 0.713 0.259 0.713
S: 0.713 0.713 0.259
S: 0.741 0.287 0.287
S: 0.766 0.766 0.766